Record 1
{
  "formula": "Th2AlCo2Ni5",
  "functional": "GGA-PBE",
  "state": "relaxed",
  "lattice": [[8.799, 0.000, 0.000], [0.000, 8.799, 0.000], [0.000, 0.000, 3.848]],
  "species": ["Th", "Th", "Th", "Th", "Al", "Al", "Co", "Co", "Co", "Co", "Ni", "Ni", "Ni", "Ni", "Ni", "Ni", "Ni", "Ni", "Ni", "Ni"],
  "frac_coords": [[0.174, 0.326, 0.000], [0.326, 0.826, 0.000], [0.674, 0.174, 0.000], [0.826, 0.674, 0.000], [0.000, 0.000, 0.000], [0.500, 0.500, 0.000], [0.127, 0.627, 0.000], [0.373, 0.127, 0.000], [0.627, 0.873, 0.000], [0.873, 0.373, 0.000], [0.000, 0.500, 0.500], [0.065, 0.799, 0.500], [0.201, 0.065, 0.500], [0.299, 0.565, 0.500], [0.435, 0.299, 0.500], [0.500, 0.000, 0.500], [0.565, 0.701, 0.500], [0.701, 0.435, 0.500], [0.799, 0.935, 0.500], [0.935, 0.201, 0.500]],
  "formation_energy_mev_per_atom": -346.0,
  "energy_ry_per_atom": -0.47892
}

Record 2
{
  "formula": "CeEuHo2",
  "functional": "GGA-PBE",
  "state": "relaxed",
  "lattice": [[5.062, 0.000, 0.000], [0.000, 5.062, 0.000], [0.000, 0.000, 5.098]],
  "species": ["Ce", "Eu", "Ho", "Ho"],
  "frac_coords": [[0.000, 0.000, 0.000], [0.500, 0.500, 0.000], [0.000, 0.500, 0.500], [0.500, 0.000, 0.500]],
  "de_polymorph_mev_per_atom": 0,
  "formation_energy_mev_per_atom": 156.6,
  "energy_ry_per_atom": -0.45454
}

Record 3
{
  "formula": "Ce3PaNi8",
  "functional": "GGA-PBE",
  "state": "relaxed",
  "lattice": [[5.005, 0.000, 0.000], [-2.503, 4.335, 0.000], [0.000, 0.000, 8.476]],
  "species": ["Ce", "Ce", "Ce", "Pa", "Ni", "Ni", "Ni", "Ni", "Ni", "Ni", "Ni", "Ni"],
  "frac_coords": [[0.000, 0.000, 0.000], [0.000, 0.000, 0.386], [0.333, 0.667, 0.898], [0.333, 0.667, 0.508], [0.340, 0.170, 0.694], [0.503, 0.006, 0.201], [0.503, 0.497, 0.201], [0.667, 0.333, 0.448], [0.667, 0.333, 0.947], [0.830, 0.170, 0.694], [0.830, 0.660, 0.694], [0.994, 0.497, 0.201]],
  "de_polymorph_mev_per_atom": 0,
  "formation_energy_mev_per_atom": -378.3,
  "energy_ry_per_atom": -0.47828
}

Record 4
{
  "formula": "BaBe2F6",
  "functional": "GGA-PBE",
  "state": "relaxed",
  "lattice": [[5.132, -5.020, 0.000], [5.132, 5.020, 0.000], [-1.614, 0.000, 4.664]],
  "species": ["Ba", "Ba", "Be", "Be", "Be", "Be", "F", "F", "F", "F", "F", "F", "F", "F", "F", "F", "F", "F"],
  "frac_coords": [[0.191, 0.809, 0.750], [0.809, 0.191, 0.250], [0.232, 0.364, 0.115], [0.364, 0.232, 0.615], [0.636, 0.768, 0.385], [0.768, 0.636, 0.885], [0.094, 0.188, 0.994], [0.144, 0.537, 0.278], [0.188, 0.094, 0.494], [0.307, 0.411, 0.854], [0.411, 0.307, 0.354], [0.463, 0.856, 0.222], [0.537, 0.144, 0.778], [0.589, 0.693, 0.646], [0.693, 0.589, 0.146], [0.812, 0.906, 0.506], [0.856, 0.463, 0.722], [0.906, 0.812, 0.006]],
  "de_polymorph_mev_per_atom": 4,
  "formation_energy_uncorrected_ev_per_fu": -31.26,
  "energy_ry_per_atom": -0.42358
}

Record 5
{
  "formula": "Pm2SmTm2",
  "functional": "GGA-PBE",
  "state": "relaxed",
  "lattice": [[6.180, -2.884, 0.000], [6.180, 2.884, 0.000], [-3.213, 0.000, 9.194]],
  "species": ["Pm", "Pm", "Pm", "Pm", "Sm", "Sm", "Tm", "Tm", "Tm", "Tm"],
  "frac_coords": [[0.158, 0.158, 0.043], [0.264, 0.264, 0.725], [0.736, 0.736, 0.275], [0.842, 0.842, 0.957], [0.050, 0.050, 0.350], [0.950, 0.950, 0.650], [0.360, 0.360, 0.424], [0.450, 0.450, 0.135], [0.550, 0.550, 0.865], [0.640, 0.640, 0.576]],
  "de_polymorph_mev_per_atom": 81,
  "formation_energy_mev_per_atom": 107.7,
  "energy_ry_per_atom": -0.33258
}

Record 6
{
  "formula": "BaSmAu2",
  "functional": "GGA-PBE",
  "state": "relaxed",
  "lattice": [[2.190, 1.265, 7.807], [-2.190, 1.265, 7.807], [0.000, -2.529, 7.807]],
  "species": ["Ba", "Sm", "Au", "Au"],
  "frac_coords": [[0.000, 0.000, 0.000], [0.171, 0.171, 0.171], [0.573, 0.573, 0.573], [0.765, 0.765, 0.765]],
  "formation_energy_mev_per_atom": -632.6,
  "energy_ry_per_atom": -0.28898
}